VASP calculation (GGA+U) on a geometry-optimized MgWO2F structure.

## Properties
The total magnetic moment comes out at 2.277 μB/cell. The total energy is -5.7332 eV per atom. As for the space-group type: P4/mmm, No. 123.

```
5
Lattice="4.0857 0.0000 0.0000 0.0000 4.0857 0.0000 0.0000 0.0000 4.2483" Properties=species:S:1:pos:R:3 pbc="T T T"
Mg 0.0000 0.0000 0.0000
W 2.0428 2.0428 2.1241
O 0.0000 2.0428 2.1241
O 2.0428 0.0000 2.1241
F 2.0428 2.0428 0.0000
```